Arrangement a

A plane-wave DFT calculation with PBE was carried out for a relaxed structure of YNbSeN2.

Calculated values
M_tot = 0.00 μB per formula unit

Lattice parameters (Å, degrees): 4.2381 4.2381 5.4340 90.00 90.00 90.00
Last column: nearest neighbours and their distance in Å.
Sites, in units of the cell vectors:
Y  0.0000  0.0000  0.0000  4 N 2.12
Nb  0.5000  0.5000  0.5000  4 Se 3.00
Se  0.0000  0.0000  0.5000  2 Y 2.72, 4 Nb 3.00
N  0.0000  0.5000  0.0000  2 Y 2.12
N  0.5000  0.0000  0.0000  2 Y 2.12

---

Arrangement b

A plane-wave DFT calculation with PBE was carried out for a relaxed structure of YNbSeN2.

Calculated values
M_tot = 0.00 μB per formula unit

Lattice parameters (Å, degrees): 4.0949 4.0949 5.1477 90.00 90.00 90.00
Last column: nearest neighbours and their distance in Å.
Sites, in units of the cell vectors:
Y  0.0000  0.0000  0.0000  4 Se 2.90
Nb  0.5000  0.5000  0.5000  4 N 2.05
Se  0.5000  0.5000  0.0000  2 Nb 2.57
N  0.0000  0.5000  0.5000  2 Nb 2.05
N  0.5000  0.0000  0.5000  2 Nb 2.05

---

arrangement b takes first place; second place is 150.4 kJ/mol of atoms up.

---

Arrangement a

A plane-wave DFT calculation with PBE was carried out for a relaxed structure of NbZnSeN2.

Calculated values
M_tot = 0.00 μB per formula unit

Lattice parameters (Å, degrees): 3.8375 3.8375 4.9117 90.00 90.00 90.00
Last column: nearest neighbours and their distance in Å.
Sites, in units of the cell vectors:
Nb  0.0000  0.0000  0.0000  4 Se 2.71
Zn  0.5000  0.5000  0.5000  4 N 1.92
Se  0.5000  0.5000  0.0000  2 Zn 2.46, 4 Nb 2.71
N  0.0000  0.5000  0.5000  2 Zn 1.92
N  0.5000  0.0000  0.5000  2 Zn 1.92

---

Arrangement b

A plane-wave DFT calculation with PBE was carried out for a relaxed structure of NbZnSeN2.

Calculated values
M_tot = 0.51 μB per formula unit

Lattice parameters (Å, degrees): 3.9732 3.9732 5.5971 90.00 90.00 90.00
Last column: nearest neighbours and their distance in Å.
Sites, in units of the cell vectors:
Nb  0.0000  0.0000  0.0000  4 N 1.99
Zn  0.5000  0.5000  0.5000  4 Se 2.81
Se  0.0000  0.0000  0.5000  2 Nb 2.80, 4 Zn 2.81
N  0.0000  0.5000  0.0000  2 Nb 1.99
N  0.5000  0.0000  0.0000  2 Nb 1.99

---

arrangement b takes first place; second place is 106.2 kJ/mol of atoms up.

---

Arrangement a

A plane-wave DFT calculation with PBE was carried out for a relaxed structure of Nb2SiN.

Calculated values
M_tot = 0.00 μB per formula unit

Lattice parameters (Å, degrees): 3.2294 3.2294 18.8732 90.00 90.00 120.00
Last column: nearest neighbours and their distance in Å.
Sites, in units of the cell vectors:
Nb  0.0000  0.0000  0.2269  3 N 2.18
Nb  0.0000  0.0000  0.7731  3 N 2.18
Nb  0.3333  0.6667  0.4398  3 N 2.18
Nb  0.3333  0.6667  0.8936  3 N 2.18
Nb  0.6667  0.3333  0.1064  3 N 2.18
Nb  0.6667  0.3333  0.5602  3 N 2.18
Si  0.0000  0.0000  0.0000  6 Nb 2.74
Si  0.3333  0.6667  0.6667  6 Nb 2.74
Si  0.6667  0.3333  0.3333  6 Nb 2.74
N  0.0000  0.0000  0.5000  6 Nb 2.18
N  0.3333  0.6667  0.1667  6 Nb 2.18
N  0.6667  0.3333  0.8333  6 Nb 2.18

---

Arrangement b

A plane-wave DFT calculation with PBE was carried out for a relaxed structure of Nb2SiN.

Calculated values
M_tot = 0.00 μB per formula unit

Lattice parameters (Å, degrees): 6.0477 6.0477 6.0477 90.00 90.00 90.00
Last column: nearest neighbours and their distance in Å.
Sites, in units of the cell vectors:
Nb  0.2500  0.2500  0.2500  4 Si 2.62, 4 N 2.62
Nb  0.2500  0.2500  0.7500  4 Si 2.62, 4 N 2.62
Nb  0.2500  0.7500  0.2500  4 Si 2.62, 4 N 2.62
Nb  0.2500  0.7500  0.7500  4 Si 2.62, 4 N 2.62
Nb  0.7500  0.2500  0.2500  4 Si 2.62, 4 N 2.62
Nb  0.7500  0.2500  0.7500  4 Si 2.62, 4 N 2.62
Nb  0.7500  0.7500  0.2500  4 Si 2.62, 4 N 2.62
Nb  0.7500  0.7500  0.7500  4 Si 2.62, 4 N 2.62
Si  0.0000  0.0000  0.0000  8 Nb 2.62
Si  0.0000  0.5000  0.5000  8 Nb 2.62
Si  0.5000  0.0000  0.5000  8 Nb 2.62
Si  0.5000  0.5000  0.0000  8 Nb 2.62
N  0.0000  0.0000  0.5000  8 Nb 2.62
N  0.0000  0.5000  0.0000  8 Nb 2.62
N  0.5000  0.0000  0.0000  8 Nb 2.62
N  0.5000  0.5000  0.5000  8 Nb 2.62

---

arrangement a takes first place; second place is 72.5 kJ/mol of atoms up.